{
  "formula": "KBaBe2Re",
  "functional": "GGA-PBEsol",
  "state": "relaxed",
  "mass_density_g_cm3": 4.34,
  "ef_mev_per_atom": 2352,
  "m_tot_mub_per_fu": 3.0,
  "lattice_angstrom": [[5.1679, 0.0000, 0.0000], [0.0000, 5.1679, 0.0000], [0.0000, 0.0000, 5.4518]],
  "species": ["Ba", "Be", "Be", "Re", "K"],
  "fractional_positions": [[0.5000, 0.5000, 0.5000], [0.0000, 0.5000, 0.0000], [0.5000, 0.0000, 0.0000], [0.0000, 0.0000, 0.5000], [0.0000, 0.0000, 0.0000]]
}

{
  "formula": "Ba2CaTiPd",
  "functional": "GGA-PBEsol",
  "state": "relaxed",
  "mass_density_g_cm3": 4.30,
  "ef_mev_per_atom": 894,
  "m_tot_mub_per_fu": 2.4,
  "lattice_angstrom": [[5.4822, 0.0000, 0.0000], [0.0000, 5.7484, 0.0000], [0.0000, 0.0000, 5.7484]],
  "species": ["Pd", "Ba", "Ba", "Ti", "Ca"],
  "fractional_positions": [[0.5000, 0.5000, 0.5000], [0.0000, 0.5000, 0.0000], [0.0000, 0.0000, 0.5000], [0.0000, 0.0000, 0.0000], [0.5000, 0.0000, 0.0000]]
}

{
  "formula": "TaIn2Au",
  "functional": "GGA-PBEsol",
  "state": "relaxed",
  "mass_density_g_cm3": 13.22,
  "ef_mev_per_atom": 158,
  "m_tot_mub_per_fu": 0.0,
  "lattice_angstrom": [[3.0278, 0.0000, 0.0000], [0.0000, 3.9287, 0.0000], [0.0000, 0.0000, 6.4148]],
  "species": ["In", "In", "Au", "Ta"],
  "fractional_positions": [[0.0000, 0.0000, 0.2504], [0.0000, 0.0000, 0.7496], [0.5000, 0.5000, 0.5000], [0.5000, 0.5000, 0.0000]]
}

{
  "formula": "BeCrO2",
  "functional": "GGA-PBEsol",
  "state": "relaxed",
  "mass_density_g_cm3": 4.19,
  "m_tot_mub_per_fu": 4.0,
  "formation_energy_uncorrected_mev_per_atom": -1808,
  "lattice_angstrom": [[-0.7106, -3.4382, 2.6318], [1.7450, -1.0063, -4.5012], [4.2475, -1.0711, -0.2525]],
  "species": ["Be", "Be", "O", "O", "O", "O", "Cr", "Cr"],
  "fractional_positions": [[0.5000, 0.0000, 0.5000], [0.2500, 0.5000, 0.2500], [0.5548, 0.7500, 0.3750], [0.8750, 0.2500, 0.5548], [0.1952, 0.7500, 0.8750], [0.3750, 0.2500, 0.1952], [0.7500, 0.5000, 0.7500], [0.0000, 0.0000, 0.0000]]
}

{
  "formula": "AlPd3",
  "functional": "GGA-PBEsol",
  "state": "relaxed",
  "mass_density_g_cm3": 10.11,
  "ef_mev_per_atom": -633,
  "m_tot_mub_per_fu": 0.0,
  "lattice_angstrom": [[3.8456, 0.0000, 0.0000], [0.0000, 3.8456, 0.0000], [0.0000, 0.0000, 3.8456]],
  "species": ["Pd", "Pd", "Pd", "Al"],
  "fractional_positions": [[0.5000, 0.5000, 0.0000], [0.5000, 0.0000, 0.5000], [0.0000, 0.5000, 0.5000], [0.0000, 0.0000, 0.0000]]
}

{
  "formula": "MnAlAs2Br",
  "functional": "GGA-PBEsol",
  "state": "relaxed",
  "mass_density_g_cm3": 4.80,
  "m_tot_mub_per_fu": 1.6,
  "formation_energy_uncorrected_mev_per_atom": 341,
  "lattice_angstrom": [[-1.2837, 3.2917, -2.7918], [-2.9319, 1.4725, 3.0843], [3.7394, 3.1839, 2.0346]],
  "species": ["Al", "As", "As", "Br", "Mn"],
  "fractional_positions": [[0.5000, 0.5000, 0.5000], [0.5000, 0.0000, 0.0000], [0.0000, 0.5000, 0.0000], [0.0000, 0.0000, 0.5000], [0.0000, 0.0000, 0.0000]]
}